1.
A relaxed structure of LiCa3Rh8. Source: Alexandria via LeMat-Bulk, functional PBE.

Calculated values
**Formation enthalpy at 0 K**: -0.308 eV/atom
**DOS at the Fermi energy**: 16.7 states/eV per cell

```
data_LiCa3Rh8
_cell_length_a 9.182
_cell_length_b 9.182
_cell_length_c 9.182
_cell_angle_alpha 33.56
_cell_angle_beta 33.56
_cell_angle_gamma 33.56
_space_group_name_H-M_alt 'P 1'
_space_group_IT_number 1
_space_group_name_Hall 'P 1'
loop_
_atom_site_label
_atom_site_fract_x
_atom_site_fract_y
_atom_site_fract_z
_atom_site_occupancy
Li1 0.000 0.000 0.000 1
Ca1 0.122 0.122 0.122 1
Ca2 0.501 0.501 0.501 1
Ca3 0.629 0.629 0.629 1
Rh1 0.060 0.563 0.563 1
Rh2 0.063 0.063 0.569 1
Rh3 0.063 0.569 0.063 1
Rh4 0.314 0.314 0.314 1
Rh5 0.563 0.060 0.563 1
Rh6 0.563 0.563 0.060 1
Rh7 0.569 0.063 0.063 1
Rh8 0.813 0.813 0.813 1
```

=====

2.
A relaxed structure of CaFeTe2. Source: Alexandria via LeMat-Bulk, functional PBE.

Calculated values
**E_form (uncorrected)**: -0.49 eV per atom
**DOS at the Fermi energy**: 3.7 states/eV per cell

```
data_CaFeTe2
_cell_length_a 4.542
_cell_length_b 6.655
_cell_length_c 6.655
_cell_angle_alpha 37.37
_cell_angle_beta 90.00
_cell_angle_gamma 90.00
_space_group_name_H-M_alt 'P 1'
_space_group_IT_number 1
_space_group_name_Hall 'P 1'
loop_
_atom_site_label
_atom_site_fract_x
_atom_site_fract_y
_atom_site_fract_z
_atom_site_occupancy
Ca1 0.000 0.000 0.000 1
Fe1 0.500 0.620 0.620 1
Te1 0.000 0.712 0.712 1
Te2 0.500 0.421 0.421 1
```

=====

3.
A relaxed structure of In2GaICl. Source: Alexandria via LeMat-Bulk, functional PBE.

Calculated values
**E_form (uncorrected)**: -0.34 eV per atom
**DOS at the Fermi energy**: 0.9 states/eV per cell

```
data_In2GaICl
_cell_length_a 5.571
_cell_length_b 5.571
_cell_length_c 5.029
_cell_angle_alpha 90.00
_cell_angle_beta 90.00
_cell_angle_gamma 90.00
_space_group_name_H-M_alt 'P 1'
_space_group_IT_number 1
_space_group_name_Hall 'P 1'
loop_
_atom_site_label
_atom_site_fract_x
_atom_site_fract_y
_atom_site_fract_z
_atom_site_occupancy
In1 0.000 0.500 0.000 1
In2 0.500 0.000 0.000 1
Ga1 0.000 0.000 0.000 1
I1 0.500 0.500 0.500 1
Cl1 0.000 0.000 0.500 1
```

=====

4.
A relaxed structure of LiLaHf2N4. Source: Alexandria via LeMat-Bulk, functional PBE.

Calculated values
**E_form (uncorrected)**: -1.54 eV per atom
**DOS at the Fermi energy**: 0.6 states/eV per cell

```
data_LiLaHf2N4
_cell_length_a 5.666
_cell_length_b 5.666
_cell_length_c 11.104
_cell_angle_alpha 90.00
_cell_angle_beta 90.00
_cell_angle_gamma 146.14
_space_group_name_H-M_alt 'P 1'
_space_group_IT_number 1
_space_group_name_Hall 'P 1'
loop_
_atom_site_label
_atom_site_fract_x
_atom_site_fract_y
_atom_site_fract_z
_atom_site_occupancy
Li1 0.163 0.837 0.750 1
Li2 0.837 0.163 0.250 1
La1 0.104 0.896 0.250 1
La2 0.896 0.104 0.750 1
Hf1 0.365 0.635 0.057 1
Hf2 0.365 0.635 0.443 1
Hf3 0.635 0.365 0.557 1
Hf4 0.635 0.365 0.943 1
N1 0.000 0.000 0.000 1
N2 0.000 0.000 0.500 1
N3 0.261 0.739 0.608 1
N4 0.261 0.739 0.892 1
N5 0.435 0.565 0.250 1
N6 0.565 0.435 0.750 1
N7 0.739 0.261 0.108 1
N8 0.739 0.261 0.392 1
```

=====

5.
A relaxed structure of CaCoSn2Bi. Source: Alexandria via LeMat-Bulk, functional PBE.

Calculated values
**Formation enthalpy at 0 K**: -0.197 eV/atom
**DOS at the Fermi energy**: 1.1 states/eV per cell

```
data_CaCoSn2Bi
_cell_length_a 4.921
_cell_length_b 4.921
_cell_length_c 5.338
_cell_angle_alpha 90.00
_cell_angle_beta 90.00
_cell_angle_gamma 90.00
_space_group_name_H-M_alt 'P 1'
_space_group_IT_number 1
_space_group_name_Hall 'P 1'
loop_
_atom_site_label
_atom_site_fract_x
_atom_site_fract_y
_atom_site_fract_z
_atom_site_occupancy
Ca1 0.000 0.000 0.000 1
Co1 0.000 0.000 0.500 1
Sn1 0.000 0.500 0.500 1
Sn2 0.500 0.000 0.500 1
Bi1 0.500 0.500 0.000 1
```

=====

6.
A relaxed structure of Th6Mn2Bi. Source: Alexandria via LeMat-Bulk, functional PBE.

Calculated values
**Formation enthalpy at 0 K**: -0.017 eV/atom
**DOS at the Fermi energy**: 26.7 states/eV per cell

```
data_Th6Mn2Bi
_cell_length_a 8.720
_cell_length_b 8.720
_cell_length_c 8.720
_cell_angle_alpha 114.73
_cell_angle_beta 114.01
_cell_angle_gamma 100.06
_space_group_name_H-M_alt 'P 1'
_space_group_IT_number 1
_space_group_name_Hall 'P 1'
loop_
_atom_site_label
_atom_site_fract_x
_atom_site_fract_y
_atom_site_fract_z
_atom_site_occupancy
Th1 0.039 0.245 0.794 1
Th2 0.191 0.296 0.488 1
Th3 0.191 0.704 0.895 1
Th4 0.330 0.022 0.692 1
Th5 0.330 0.638 0.308 1
Th6 0.451 0.245 0.206 1
Th7 0.549 0.755 0.794 1
Th8 0.670 0.362 0.692 1
Th9 0.670 0.978 0.308 1
Th10 0.809 0.296 0.105 1
Th11 0.809 0.704 0.512 1
Th12 0.961 0.755 0.206 1
Mn1 0.118 0.618 0.500 1
Mn2 0.359 0.000 0.359 1
Mn3 0.641 0.000 0.641 1
Mn4 0.882 0.382 0.500 1
Bi1 0.000 0.000 0.000 1
Bi2 0.500 0.500 0.000 1
```

=====

7.
A relaxed structure of Ac3GaCu2Pd6. Source: Alexandria via LeMat-Bulk, functional PBE.

Calculated values
**Formation enthalpy at 0 K**: -0.577 eV/atom
**DOS at the Fermi energy**: 6.9 states/eV per cell

```
data_Ac3GaCu2Pd6
_cell_length_a 5.908
_cell_length_b 5.908
_cell_length_c 8.809
_cell_angle_alpha 90.00
_cell_angle_beta 90.00
_cell_angle_gamma 120.00
_space_group_name_H-M_alt 'P 1'
_space_group_IT_number 1
_space_group_name_Hall 'P 1'
loop_
_atom_site_label
_atom_site_fract_x
_atom_site_fract_y
_atom_site_fract_z
_atom_site_occupancy
Ac1 0.000 0.000 0.000 1
Ac2 0.333 0.667 0.639 1
Ac3 0.667 0.333 0.361 1
Ga1 0.000 0.000 0.500 1
Cu1 0.333 0.667 0.048 1
Cu2 0.667 0.333 0.952 1
Pd1 0.174 0.348 0.287 1
Pd2 0.174 0.826 0.287 1
Pd3 0.348 0.174 0.713 1
Pd4 0.652 0.826 0.287 1
Pd5 0.826 0.174 0.713 1
Pd6 0.826 0.652 0.713 1
```

=====

8.
A relaxed structure of TeAs2Ir. Source: Alexandria via LeMat-Bulk, functional PBE.

Calculated values
**E_form (uncorrected)**: 0.22 eV per atom
**DOS at the Fermi energy**: 2.0 states/eV per cell

```
data_TeAs2Ir
_cell_length_a 6.160
_cell_length_b 6.160
_cell_length_c 6.160
_cell_angle_alpha 151.41
_cell_angle_beta 132.00
_cell_angle_gamma 56.82
_space_group_name_H-M_alt 'P 1'
_space_group_IT_number 1
_space_group_name_Hall 'P 1'
loop_
_atom_site_label
_atom_site_fract_x
_atom_site_fract_y
_atom_site_fract_z
_atom_site_occupancy
Te1 0.000 0.000 0.000 1
As1 0.308 0.808 0.500 1
As2 0.692 0.192 0.500 1
Ir1 0.500 0.500 0.000 1
```